! Ti3PdN (PBE-GGA, relaxed); values from VASP
&SYSTEM
  ibrav = 0, nat = 20, ntyp = 3
/
ATOMIC_SPECIES
N 14.01 N.upf
Pd 106.42 Pd.upf
Ti 47.87 Ti.upf
CELL_PARAMETERS angstrom
0.0872 -12.9856 -16.9528
-0.4647 -4.2148 3.2261
-2.4995 5.0033 6.1766
ATOMIC_POSITIONS crystal
N 0.5283 0.7510 0.6597
N 0.4717 0.2490 0.3403
N 0.9717 0.2510 0.8403
N 0.0283 0.7490 0.1597
Pd 0.0020 0.1800 0.3975
Pd 0.9980 0.8200 0.6025
Pd 0.4980 0.6800 0.1025
Pd 0.5020 0.3200 0.8975
Ti 0.2976 0.9138 0.9440
Ti 0.7024 0.0862 0.0560
Ti 0.2024 0.4138 0.5560
Ti 0.7976 0.5862 0.4440
Ti 0.3490 0.4300 0.2368
Ti 0.6510 0.5700 0.7632
Ti 0.1510 0.9300 0.2632
Ti 0.8490 0.0700 0.7368
Ti 0.4109 0.8642 0.5899
Ti 0.5891 0.1358 0.4101
Ti 0.0891 0.3642 0.9101
Ti 0.9109 0.6358 0.0899
! Formation energy (no corrections)   -917 meV per atom
! Raw total energy   -8.36 eV/atom
! Space group   No. 14